<A>
The following is a GGA-PBE calculation of a relaxed CdMoOs crystal, from Alexandria via LeMat-Bulk.

```
data_CdMoOs
_chemical_formula_sum 'Cd1 Mo1 Os1'
_cell_length_a 2.8405
_cell_length_b 2.8405
_cell_length_c 7.1662
_cell_angle_alpha 90.00
_cell_angle_beta 90.00
_cell_angle_gamma 120.00
_symmetry_space_group_name_H-M 'P 3 m 1'
_symmetry_Int_Tables_number 156
_symmetry_space_group_name_Hall 'P 3 -2"'
loop_
_atom_site_label
_atom_site_type_symbol
_atom_site_fract_x
_atom_site_fract_y
_atom_site_fract_z
_atom_site_occupancy
Cd1 Cd 0.0000 0.0000 0.0000 1
Mo1 Mo 0.6667 0.3333 0.3616 1
Os1 Os 0.3333 0.6667 0.6489 1
```

Output
As for the calculated volume: 16.691 Å³/atom.

<B>
The following is a GGA-PBE calculation of a relaxed CdMoOs crystal, from Alexandria via LeMat-Bulk.

```
data_CdMoOs
_chemical_formula_sum 'Cd2 Mo2 Os2'
_cell_length_a 2.999
_cell_length_b 2.999
_cell_length_c 11.514
_cell_angle_alpha 90.00
_cell_angle_beta 90.00
_cell_angle_gamma 90.00
_symmetry_space_group_name_H-M 'I 4 m m'
_symmetry_Int_Tables_number 107
_symmetry_space_group_name_Hall 'I 4 -2'
loop_
_atom_site_label
_atom_site_type_symbol
_atom_site_fract_x
_atom_site_fract_y
_atom_site_fract_z
_atom_site_occupancy
Cd1 Cd 0.000 0.000 0.000 1
Mo1 Mo 0.000 0.000 0.691 1
Os1 Os 0.000 0.000 0.316 1
```

Output
As for the calculated volume: 17.264 Å³/atom.

<C>
The following is a GGA-PBE calculation of a relaxed CdMoOs crystal, from Alexandria via LeMat-Bulk.

```
data_CdMoOs
_chemical_formula_sum 'Cd4 Mo4 Os4'
_cell_length_a 6.157
_cell_length_b 6.157
_cell_length_c 6.157
_cell_angle_alpha 90.00
_cell_angle_beta 90.00
_cell_angle_gamma 90.00
_symmetry_space_group_name_H-M 'F -4 3 m'
_symmetry_Int_Tables_number 216
_symmetry_space_group_name_Hall 'F -4 2 3'
loop_
_atom_site_label
_atom_site_type_symbol
_atom_site_fract_x
_atom_site_fract_y
_atom_site_fract_z
_atom_site_occupancy
Cd1 Cd 0.000 0.000 0.000 1
Mo1 Mo 0.000 0.000 0.500 1
Os1 Os 0.250 0.250 0.750 1
```

Output
As for the calculated volume: 19.451 Å³/atom.

<D>
The following is a GGA-PBE calculation of a relaxed CdMoOs crystal, from Alexandria via LeMat-Bulk.

```
data_CdMoOs
_chemical_formula_sum 'Cd4 Mo4 Os4'
_cell_length_a 3.001
_cell_length_b 4.640
_cell_length_c 14.515
_cell_angle_alpha 90.00
_cell_angle_beta 90.00
_cell_angle_gamma 90.00
_symmetry_space_group_name_H-M 'F m m 2'
_symmetry_Int_Tables_number 42
_symmetry_space_group_name_Hall 'F 2 -2'
loop_
_atom_site_label
_atom_site_type_symbol
_atom_site_fract_x
_atom_site_fract_y
_atom_site_fract_z
_atom_site_occupancy
Cd1 Cd 0.000 0.000 0.000 1
Mo1 Mo 0.000 0.000 0.322 1
Os1 Os 0.000 0.000 0.676 1
```

Output
As for the calculated volume: 16.846 Å³/atom.

The calculated energies rank the structures as follows, beginning with the most stable: <A>, <B>, <D>, <C>.

<A>
The following is a GGA-PBE calculation of a relaxed CdMoP3 crystal, from Alexandria via LeMat-Bulk.

```
data_CdMoP3
_chemical_formula_sum 'Cd1 Mo1 P3'
_cell_length_a 4.776
_cell_length_b 4.776
_cell_length_c 4.776
_cell_angle_alpha 90.00
_cell_angle_beta 90.00
_cell_angle_gamma 90.00
_symmetry_space_group_name_H-M 'P m -3 m'
_symmetry_Int_Tables_number 221
_symmetry_space_group_name_Hall '-P 4 2 3'
loop_
_atom_site_label
_atom_site_type_symbol
_atom_site_fract_x
_atom_site_fract_y
_atom_site_fract_z
_atom_site_occupancy
Cd1 Cd 0.000 0.000 0.000 1
Mo1 Mo 0.500 0.500 0.500 1
P1 P 0.000 0.000 0.500 1
```

Output
As for the calculated volume: 21.790 Å³/atom.

<B>
The following is a GGA-PBE calculation of a relaxed CdMoP3 crystal, from Alexandria via LeMat-Bulk.

```
data_CdMoP3
_chemical_formula_sum 'Cd1 Mo1 P3'
_cell_length_a 4.734
_cell_length_b 4.734
_cell_length_c 4.734
_cell_angle_alpha 90.00
_cell_angle_beta 90.00
_cell_angle_gamma 90.00
_symmetry_space_group_name_H-M 'P m -3 m'
_symmetry_Int_Tables_number 221
_symmetry_space_group_name_Hall '-P 4 2 3'
loop_
_atom_site_label
_atom_site_type_symbol
_atom_site_fract_x
_atom_site_fract_y
_atom_site_fract_z
_atom_site_occupancy
Cd1 Cd 0.000 0.000 0.000 1
Mo1 Mo 0.500 0.500 0.500 1
P1 P 0.000 0.500 0.500 1
```

Output
As for the calculated volume: 21.224 Å³/atom.

The calculated energies rank the structures as follows, beginning with the most stable: <B>, <A>.

<A>
The following is a GGA-PBE calculation of a relaxed Cd3MoP crystal, from Alexandria via LeMat-Bulk.

```
data_Cd3MoP
_chemical_formula_sum 'Cd3 Mo1 P1'
_cell_length_a 5.412
_cell_length_b 5.412
_cell_length_c 5.412
_cell_angle_alpha 90.00
_cell_angle_beta 90.00
_cell_angle_gamma 90.00
_symmetry_space_group_name_H-M 'P m -3 m'
_symmetry_Int_Tables_number 221
_symmetry_space_group_name_Hall '-P 4 2 3'
loop_
_atom_site_label
_atom_site_type_symbol
_atom_site_fract_x
_atom_site_fract_y
_atom_site_fract_z
_atom_site_occupancy
Cd1 Cd 0.000 0.000 0.500 1
Mo1 Mo 0.000 0.000 0.000 1
P1 P 0.500 0.500 0.500 1
```

Output
As for the calculated volume: 31.711 Å³/atom.

<B>
The following is a GGA-PBE calculation of a relaxed Cd3MoP crystal, from Alexandria via LeMat-Bulk.

```
data_Cd3MoP
_chemical_formula_sum 'Cd3 Mo1 P1'
_cell_length_a 5.038
_cell_length_b 5.038
_cell_length_c 5.038
_cell_angle_alpha 90.00
_cell_angle_beta 90.00
_cell_angle_gamma 90.00
_symmetry_space_group_name_H-M 'P m -3 m'
_symmetry_Int_Tables_number 221
_symmetry_space_group_name_Hall '-P 4 2 3'
loop_
_atom_site_label
_atom_site_type_symbol
_atom_site_fract_x
_atom_site_fract_y
_atom_site_fract_z
_atom_site_occupancy
Cd1 Cd 0.000 0.000 0.500 1
Mo1 Mo 0.500 0.500 0.500 1
P1 P 0.000 0.000 0.000 1
```

Output
As for the calculated volume: 25.571 Å³/atom.

The calculated energies rank the structures as follows, beginning with the most stable: <B>, <A>.

<A>
The following is a GGA-PBE calculation of a relaxed CdMoP2S crystal, from Alexandria via LeMat-Bulk.

```
data_CdMoP2S
_chemical_formula_sum 'Cd1 Mo1 P2 S1'
_cell_length_a 4.860
_cell_length_b 4.860
_cell_length_c 4.946
_cell_angle_alpha 90.00
_cell_angle_beta 90.00
_cell_angle_gamma 90.00
_symmetry_space_group_name_H-M 'P 4/m m m'
_symmetry_Int_Tables_number 123
_symmetry_space_group_name_Hall '-P 4 2'
loop_
_atom_site_label
_atom_site_type_symbol
_atom_site_fract_x
_atom_site_fract_y
_atom_site_fract_z
_atom_site_occupancy
Cd1 Cd 0.000 0.000 0.000 1
Mo1 Mo 0.500 0.500 0.500 1
P1 P 0.000 0.500 0.000 1
S1 S 0.000 0.000 0.500 1
```

Output
As for the calculated volume: 23.364 Å³/atom.

<B>
The following is a GGA-PBE calculation of a relaxed CdMoP2S crystal, from Alexandria via LeMat-Bulk.

```
data_CdMoP2S
_chemical_formula_sum 'Cd1 Mo1 P2 S1'
_cell_length_a 4.824
_cell_length_b 4.824
_cell_length_c 4.575
_cell_angle_alpha 90.00
_cell_angle_beta 90.00
_cell_angle_gamma 90.00
_symmetry_space_group_name_H-M 'P 4/m m m'
_symmetry_Int_Tables_number 123
_symmetry_space_group_name_Hall '-P 4 2'
loop_
_atom_site_label
_atom_site_type_symbol
_atom_site_fract_x
_atom_site_fract_y
_atom_site_fract_z
_atom_site_occupancy
Cd1 Cd 0.000 0.000 0.000 1
Mo1 Mo 0.500 0.500 0.500 1
P1 P 0.000 0.500 0.500 1
S1 S 0.500 0.500 0.000 1
```

Output
As for the calculated volume: 21.291 Å³/atom.

The calculated energies rank the structures as follows, beginning with the most stable: <B>, <A>.